Below is crystalline Pr5YErTm2 at its relaxed geometry, with properties calculated at the GGA-PBE level.

Cell: 5.4366 21.8426 10.5195 Å, 90.00 90.00 90.00°
Last column: nearest neighbours and their distance in Å.
Space group Cmc2_1 (No. 36)
Inequivalent atoms, fractional coordinates:
Pr: 0.0000 0.9999 0.0000 [4 per cell]  2 Y 3.43, 4 Tm 3.69, 6 Pr 3.76-3.78
Pr: 0.0000 0.1229 0.2501 [4 per cell]  1 Er 3.57, 6 Pr 3.76-3.89, 4 Tm 3.78
Pr: 0.0000 0.2200 0.5596 [4 per cell]  2 Pr 3.27, 1 Y 3.29, 3 Er 3.38-3.56, 2 Tm 3.62
Pr: 0.0000 0.2196 0.9414 [4 per cell]  2 Pr 3.27, 1 Y 3.29, 3 Er 3.38-3.56, 2 Tm 3.62
Pr: 0.0000 0.5000 0.2500 [4 per cell]  2 Y 3.50, 4 Tm 3.62-3.64, 6 Pr 3.78-3.82
Y: 0.0000 0.1007 0.7501 [4 per cell]  6 Pr 3.29-3.50, 2 Er 3.67
Er: 0.0000 0.2864 0.2505 [4 per cell]  7 Pr 3.38-3.57, 2 Tm 3.41-3.42, 2 Y 3.67
Tm: 0.0000 0.3853 0.9991 [4 per cell]  1 Er 3.42, 9 Pr 3.62-3.78, 2 Y 3.80
Tm: 0.0000 0.3857 0.5009 [4 per cell]  1 Er 3.41, 9 Pr 3.62-3.78, 2 Y 3.80

## Properties
For the calculated density, the calculation gives 6905 kg/m³. The crystal system is orthorhombic. The calculation puts the raw total energy at -4.74 eV/atom. For the size of the total moment, the calculation gives 0.000 μB/atom. Its calculated formation energy is 3.05 kcal/mol of atoms.

***

Below is crystalline Pr3YEr6Tm2 at its relaxed geometry, with properties calculated at the GGA-PBE level.

Cell: 6.1822 10.7007 11.7637 Å, 90.00 100.07 90.00°
Last column: nearest neighbours and their distance in Å.
Space group C2/m (No. 12)
Inequivalent atoms, fractional coordinates:
Pr: 0.0000 0.0000 0.0000 [2 per cell]  6 Pr 3.57, 6 Er 3.60
Pr: 0.0000 0.3333 0.0000 [4 per cell]  6 Pr 3.57, 6 Er 3.60
Y: 0.0000 0.5000 0.5000 [2 per cell]  6 Er 3.51, 6 Tm 3.57
Er: 0.2473 0.0000 0.7449 [4 per cell]  2 Tm 3.50, 1 Y 3.51, 6 Er 3.56-3.58, 3 Pr 3.60
Er: 0.2489 0.3328 0.7450 [8 per cell]  2 Tm 3.50, 1 Y 3.51, 6 Er 3.56-3.58, 3 Pr 3.60
Tm: 0.0000 0.1667 0.5000 [4 per cell]  6 Er 3.50, 3 Y 3.57, 3 Tm 3.57

## Properties
For the calculated density, the calculation gives 8032 kg/m³. The crystal system is monoclinic. The calculation puts the raw total energy at -4.73 eV/atom. For the size of the total moment, the calculation gives 0.000 μB/atom. Its calculated formation energy is 0.60 kcal/mol of atoms.

***

Below is crystalline PrY6Er2Tm at its relaxed geometry, with properties calculated at the GGA-PBE level.

Cell: 9.1947 15.0098 9.4900 Å, 90.00 96.31 90.00°
Last column: nearest neighbours and their distance in Å.
Space group C2/c (No. 15)
Inequivalent atoms, fractional coordinates:
Pr: 0.0000 0.0289 0.2500 [4 per cell]  4 Er 3.38-3.50, 4 Y 3.56-3.68
Y: 0.0610 0.1824 0.9430 [8 per cell]  7 Y 3.42-3.73, 1 Er 3.50, 2 Pr 3.68-3.80
Y: 0.0968 0.3891 0.1137 [8 per cell]  4 Y 3.24-3.50, 3 Er 3.27-3.44, 2 Tm 3.42-3.48
Y: 0.2146 0.2246 0.3169 [8 per cell]  3 Y 3.24-3.56, 2 Er 3.41-3.59, 1 Tm 3.44, 1 Pr 3.56
Er: 0.2470 0.4483 0.4492 [8 per cell]  6 Y 3.27-3.59, 2 Pr 3.38-3.50, 1 Tm 3.50
Tm: 0.0000 0.4115 0.7500 [4 per cell]  6 Y 3.42-3.48, 2 Er 3.50

## Properties
For the calculated density, the calculation gives 6010 kg/m³. The crystal system is monoclinic. The calculation puts the raw total energy at -5.60 eV/atom. For the size of the total moment, the calculation gives 0.000 μB/atom. Its calculated formation energy is 2.75 kcal/mol of atoms.

***

Below is crystalline Pr4YEr2Tm2 at its relaxed geometry, with properties calculated at the GGA-PBE level.

Cell: 15.3083 5.0867 8.0624 Å, 90.00 108.34 90.00°
Last column: nearest neighbours and their distance in Å.
Space group C2/m (No. 12)
Inequivalent atoms, fractional coordinates:
Pr: 0.0533 0.0000 0.3309 [4 per cell]  4 Er 3.58-3.63, 2 Y 3.59, 4 Pr 3.59-3.64, 2 Tm 3.59-3.63
Pr: 0.2236 0.5000 0.3313 [4 per cell]  3 Tm 3.56-3.59, 3 Er 3.58-3.65, 1 Y 3.62, 5 Pr 3.62-3.64
Y: 0.0000 0.5000 0.0000 [2 per cell]  2 Er 3.59, 6 Pr 3.59-3.62, 4 Tm 3.62
Er: 0.1117 0.5000 0.6699 [4 per cell]  3 Tm 3.58, 7 Pr 3.58-3.65, 1 Y 3.59, 1 Er 3.65
Tm: 0.1682 0.0000 0.9996 [4 per cell]  5 Pr 3.56-3.63, 2 Tm 3.57, 3 Er 3.58, 2 Y 3.62

## Properties
For the calculated density, the calculation gives 7384 kg/m³. The crystal system is monoclinic. The calculation puts the raw total energy at -4.82 eV/atom. For the size of the total moment, the calculation gives 0.000 μB/atom. Its calculated formation energy is 0.60 kcal/mol of atoms.

***

Below is crystalline PrY3ErTm at its relaxed geometry, with properties calculated at the GGA-PBE level.

Cell: 5.0519 15.1576 10.0994 Å, 90.00 90.00 90.00°
Last column: nearest neighbours and their distance in Å.
Space group Cmcm (No. 63)
Inequivalent atoms, fractional coordinates:
Pr: 0.0000 0.0000 0.0000 [4 per cell]  2 Tm 3.57, 4 Er 3.57, 6 Y 3.58
Y: 0.0000 0.1672 0.2500 [4 per cell]  6 Y 3.56-3.57, 2 Tm 3.57, 2 Pr 3.58, 2 Er 3.59
Y: 0.0000 0.3327 0.0003 [8 per cell]  5 Y 3.56-3.57, 2 Er 3.57-3.59, 3 Tm 3.57, 2 Pr 3.58
Er: 0.0000 0.4991 0.2500 [4 per cell]  2 Tm 3.56, 6 Y 3.57-3.59, 4 Pr 3.57
Tm: 0.0000 0.1663 0.7500 [4 per cell]  2 Er 3.56, 2 Pr 3.57, 8 Y 3.57

## Properties
For the calculated density, the calculation gives 6388 kg/m³. The crystal system is orthorhombic. The calculation puts the raw total energy at -5.51 eV/atom. For the size of the total moment, the calculation gives 0.000 μB/atom. Its calculated formation energy is 0.60 kcal/mol of atoms.

***

Below is crystalline PrY3Er6Tm2 at its relaxed geometry, with properties calculated at the GGA-PBE level.

Cell: 6.1263 10.5986 11.7313 Å, 90.00 99.98 90.00°
Last column: nearest neighbours and their distance in Å.
Space group C2/m (No. 12)
Inequivalent atoms, fractional coordinates:
Pr: 0.0000 0.0000 0.0000 [2 per cell]  6 Tm 3.53-3.54, 6 Er 3.53-3.54
Y: 0.0000 0.1671 0.5000 [4 per cell]  6 Y 3.53-3.54, 6 Er 3.53-3.54
Y: 0.0000 0.5000 0.5000 [2 per cell]  6 Y 3.53-3.54, 6 Er 3.54
Er: 0.2487 0.3329 0.7501 [8 per cell]  6 Er 3.53-3.55, 2 Tm 3.53-3.54, 3 Y 3.53-3.54, 1 Pr 3.54
Er: 0.2502 0.0000 0.7502 [4 per cell]  6 Er 3.53-3.55, 2 Tm 3.53, 1 Pr 3.53, 3 Y 3.54
Tm: 0.0000 0.3333 0.0000 [4 per cell]  6 Er 3.53-3.54, 3 Pr 3.53-3.54, 3 Tm 3.53-3.54

## Properties
For the calculated density, the calculation gives 7743 kg/m³. The crystal system is monoclinic. The calculation puts the raw total energy at -5.02 eV/atom. For the size of the total moment, the calculation gives 0.000 μB/atom. Its calculated formation energy is 0.57 kcal/mol of atoms.

***

Below is crystalline Pr6Y2ErTm3 at its relaxed geometry, with properties calculated at the GGA-PBE level.

Cell: 6.2913 10.8936 11.8315 Å, 90.00 100.19 90.00°
Last column: nearest neighbours and their distance in Å.
Space group C2/m (No. 12)
Inequivalent atoms, fractional coordinates:
Pr: 0.2485 0.0000 0.2480 [4 per cell]  3 Tm 3.57, 1 Er 3.60, 2 Y 3.61, 6 Pr 3.62-3.64
Pr: 0.2502 0.1662 0.7519 [8 per cell]  3 Tm 3.57, 1 Er 3.60, 2 Y 3.61, 6 Pr 3.62-3.64
Y: 0.0000 0.3334 0.5000 [4 per cell]  6 Pr 3.61, 3 Y 3.63, 3 Er 3.63
Er: 0.0000 0.0000 0.5000 [2 per cell]  6 Pr 3.60, 6 Y 3.63
Tm: 0.0000 0.1666 0.0000 [4 per cell]  6 Pr 3.57, 6 Tm 3.63
Tm: 0.0000 0.5000 0.0000 [2 per cell]  6 Pr 3.57, 6 Tm 3.63

## Properties
For the calculated density, the calculation gives 7063 kg/m³. The crystal system is monoclinic. The calculation puts the raw total energy at -4.95 eV/atom. For the size of the total moment, the calculation gives 0.000 μB/atom. Its calculated formation energy is 0.31 kcal/mol of atoms.

***

Below is crystalline Pr6YEr3Tm2 at its relaxed geometry, with properties calculated at the GGA-PBE level.

Cell: 6.2849 10.8824 11.8190 Å, 90.00 100.19 90.00°
Last column: nearest neighbours and their distance in Å.
Space group C2/m (No. 12)
Inequivalent atoms, fractional coordinates:
Pr: 0.2492 0.0000 0.2503 [4 per cell]  3 Er 3.58, 2 Tm 3.59, 1 Y 3.59, 6 Pr 3.62-3.64
Pr: 0.2492 0.1673 0.7498 [8 per cell]  3 Er 3.58, 2 Tm 3.58, 1 Y 3.59, 6 Pr 3.62-3.64
Y: 0.0000 0.5000 0.0000 [2 per cell]  6 Pr 3.59, 6 Tm 3.63
Er: 0.0000 0.0000 0.5000 [2 per cell]  6 Pr 3.58, 6 Er 3.63
Er: 0.0000 0.3332 0.5000 [4 per cell]  6 Pr 3.58, 6 Er 3.63
Tm: 0.0000 0.1666 0.0000 [4 per cell]  6 Pr 3.58-3.59, 3 Tm 3.63, 3 Y 3.63

## Properties
For the calculated density, the calculation gives 7405 kg/m³. The crystal system is monoclinic. The calculation puts the raw total energy at -4.80 eV/atom. For the size of the total moment, the calculation gives 0.000 μB/atom. Its calculated formation energy is 0.32 kcal/mol of atoms.

***

Below is crystalline PrY2Er2Tm at its relaxed geometry, with properties calculated at the GGA-PBE level.

Cell: 6.4653 17.8725 3.4234 Å, 90.00 90.00 90.00°
Last column: nearest neighbours and their distance in Å.
Space group Pnnm (No. 58)
Inequivalent atoms, fractional coordinates:
Pr: 0.0000 0.0000 0.0000 [2 per cell]  2 Er 3.20, 2 Pr 3.42
Y: 0.2161 0.1894 0.0000 [4 per cell]  4 Er 3.30-3.40, 2 Y 3.42, 1 Pr 3.66
Er: 0.2130 0.3540 0.5000 [4 per cell]  1 Pr 3.20, 4 Y 3.30-3.40, 2 Tm 3.41, 2 Er 3.42
Tm: 0.0000 0.5000 0.0000 [2 per cell]  4 Er 3.41, 2 Tm 3.42, 4 Pr 3.66

## Properties
For the calculated density, the calculation gives 6903 kg/m³. The crystal system is orthorhombic. The calculation puts the raw total energy at -4.95 eV/atom. For the size of the total moment, the calculation gives 0.000 μB/atom. Its calculated formation energy is 6.24 kcal/mol of atoms.

***

Below is crystalline Pr3Er6Tm2Zr at its relaxed geometry, with properties calculated at the GGA-PBE level.

Cell: 6.1173 10.5834 11.6336 Å, 90.00 100.08 90.00°
Last column: nearest neighbours and their distance in Å.
Space group C2/m (No. 12)
Inequivalent atoms, fractional coordinates:
Pr: 0.0000 0.0000 0.0000 [2 per cell]  6 Pr 3.53-3.54, 6 Er 3.60-3.64
Pr: 0.0000 0.3340 0.0000 [4 per cell]  6 Pr 3.51-3.54, 6 Er 3.60-3.64
Er: 0.2426 0.3367 0.7395 [8 per cell]  1 Zr 3.39, 2 Tm 3.43, 6 Er 3.46-3.57, 3 Pr 3.60-3.64
Er: 0.2471 0.5000 0.2608 [4 per cell]  1 Zr 3.39, 2 Tm 3.43, 6 Er 3.46-3.57, 3 Pr 3.60-3.64
Tm: 0.0000 0.1668 0.5000 [4 per cell]  6 Er 3.43, 3 Zr 3.53, 3 Tm 3.53
Zr: 0.0000 0.5000 0.5000 [2 per cell]  6 Er 3.39, 6 Tm 3.53

## Properties
For the calculated density, the calculation gives 8309 kg/m³. The crystal system is monoclinic. The calculation puts the raw total energy at -4.89 eV/atom. For the size of the total moment, the calculation gives 0.000 μB/atom. Its calculated formation energy is 1.06 kcal/mol of atoms.

***

Below is crystalline Pr3Er2Tm6Zr at its relaxed geometry, with properties calculated at the GGA-PBE level.

Cell: 6.1092 10.5737 11.5905 Å, 90.00 100.11 90.00°
Last column: nearest neighbours and their distance in Å.
Space group C2/m (No. 12)
Inequivalent atoms, fractional coordinates:
Pr: 0.0000 0.0000 0.0000 [2 per cell]  6 Pr 3.52-3.53, 6 Tm 3.59-3.62
Pr: 0.0000 0.3341 0.0000 [4 per cell]  6 Pr 3.51-3.53, 6 Tm 3.58-3.63
Er: 0.0000 0.1667 0.5000 [4 per cell]  6 Tm 3.42-3.43, 3 Zr 3.52-3.53, 3 Er 3.52-3.53
Tm: 0.2426 0.3369 0.7400 [8 per cell]  1 Zr 3.39, 2 Er 3.42-3.43, 6 Tm 3.45-3.57, 3 Pr 3.58-3.63
Tm: 0.2466 0.5000 0.2602 [4 per cell]  1 Zr 3.39, 2 Er 3.42, 6 Tm 3.45-3.57, 3 Pr 3.58-3.62
Zr: 0.0000 0.5000 0.5000 [2 per cell]  6 Tm 3.39, 6 Er 3.52-3.53

## Properties
For the calculated density, the calculation gives 8390 kg/m³. The crystal system is monoclinic. The calculation puts the raw total energy at -4.86 eV/atom. For the size of the total moment, the calculation gives 0.000 μB/atom. Its calculated formation energy is 1.09 kcal/mol of atoms.

***

Below is crystalline PrEr2V at its relaxed geometry, with properties calculated at the GGA-PBE level.

Cell: 3.5778 3.5778 8.7919 Å, 90.00 90.00 90.00°
Last column: nearest neighbours and their distance in Å.
Space group P4/mmm (No. 123)
Inequivalent atoms, fractional coordinates:
Pr: 0.0000 0.0000 0.0000 [1 per cell]  4 Pr 3.58, 8 Er 3.69
Er: 0.5000 0.5000 0.3053 [2 per cell]  4 V 3.05
V: 0.0000 0.0000 0.5000 [1 per cell]  8 Er 3.05

## Properties
For the calculated density, the calculation gives 7766 kg/m³. The crystal system is tetragonal. The distance to the lowest polymorph of the same formula is 0 meV per atom. The calculation puts the raw total energy at -5.56 eV/atom. For the size of the total moment, the calculation gives 0.852 μB/atom. Its calculated formation energy is 4.43 kcal/mol of atoms.